Entry from the Alexandria database: crystalline Lu2ReAu at its relaxed geometry (PBE-GGA).

Calculated values
* space-group type: P4/mmm

Unit cell a=3.396 b=3.396 c=7.123 alpha=90.00 beta=90.00 gamma=90.00
Positions (direct):
Lu1 0.000 0.000 0.230
Lu2 0.000 0.000 0.770
Re1 0.500 0.500 0.000
Au1 0.500 0.500 0.500

Entry from the Alexandria database: crystalline LuRhAu at its relaxed geometry (PBE-GGA).

Calculated values
* space-group type: I4mm
* E above lowest polymorph: 0 meV per atom

Unit cell a=5.258 b=5.258 c=5.258 alpha=141.32 beta=141.32 gamma=55.86
Positions (direct):
Lu1 0.000 0.000 0.000
Rh1 0.348 0.348 0.000
Au1 0.677 0.677 0.000

E_tot: -6.576 -5.748 (eV/atom)
ΔH_f (0 K): -384 -699 (meV per atom)